a.
This record from Alexandria via LeMat-Bulk describes an optimized crystal structure of BaFeH2. The functional is PBE-GGA.

Summary:
- Mass density: 5.707 g cm⁻³
- Symmetry: No. 122
- Crystal system: tetragonal
- Total moment: 0.5000 μB per atom

Lattice parameters (Å, degrees): 5.4022 5.4022 5.4022 118.69 118.69 92.28
With the nearest neighbours (Å) after each atom.
Element x y z (fractional)
Ba1 0.0000 0.0000 0.0000  4 H 2.79
Ba2 0.7500 0.2500 0.5000  4 H 2.79
Fe1 0.2500 0.7500 0.5000  4 H 1.74
Fe2 0.5000 0.5000 0.0000  4 H 1.74
H1 0.2813 0.6250 0.1563  2 Fe 1.74
H2 0.3750 0.5313 0.6563  2 Fe 1.74
H3 0.4687 0.1250 0.8437  2 Fe 1.74
H4 0.8750 0.7187 0.3437  2 Fe 1.74

***

b.
This record from Alexandria via LeMat-Bulk describes an optimized crystal structure of BaFeH2. The functional is PBE-GGA.

Summary:
- Mass density: 5.370 g cm⁻³
- Symmetry: No. 225
- Crystal system: cubic
- Total moment: 0.0367 μB per atom

Lattice parameters (Å, degrees): 4.4030 4.4030 4.4030 60.00 60.00 60.00
With the nearest neighbours (Å) after each atom.
Element x y z (fractional)
Ba1 0.0000 0.0000 0.0000  8 H 2.70
Fe1 0.5000 0.5000 0.5000  8 H 2.70
H1 0.2500 0.2500 0.2500  4 Fe 2.70, 4 Ba 2.70
H2 0.7500 0.7500 0.7500  4 Fe 2.70, 4 Ba 2.70

***

Which structure loses on stability? b does.

***

a.
This record from Alexandria via LeMat-Bulk describes an optimized crystal structure of Ba2FeH. The functional is PBE-GGA.

Summary:
- Mass density: 5.026 g cm⁻³
- Symmetry: No. 225
- Crystal system: cubic
- Total moment: 0.3644 μB per atom

Lattice parameters (Å, degrees): 5.3706 5.3706 5.3706 60.00 60.00 60.00
With the nearest neighbours (Å) after each atom.
Element x y z (fractional)
Ba1 0.2500 0.2500 0.2500  4 H 3.29, 4 Fe 3.29
Ba2 0.7500 0.7500 0.7500  4 H 3.29, 4 Fe 3.29
Fe1 0.0000 0.0000 0.0000  8 Ba 3.29
H1 0.5000 0.5000 0.5000  8 Ba 3.29

***

b.
This record from Alexandria via LeMat-Bulk describes an optimized crystal structure of Ba2FeH. The functional is PBE-GGA.

Summary:
- Mass density: 4.338 g cm⁻³
- Symmetry: No. 122
- Crystal system: tetragonal
- Total moment: 0.4759 μB per atom

Lattice parameters (Å, degrees): 6.9504 6.9504 6.9504 114.15 114.15 100.46
With the nearest neighbours (Å) after each atom.
Element x y z (fractional)
Ba1 0.0579 0.1250 0.4329  2 H 2.59
Ba2 0.3750 0.9421 0.0671  2 H 2.59
Ba3 0.6921 0.6250 0.5671  2 H 2.59
Ba4 0.8750 0.3079 0.9329  2 H 2.59
Fe1 0.2500 0.7500 0.5000  4 Ba 3.25
Fe2 0.5000 0.5000 0.0000  4 Ba 3.25
H1 0.0000 0.0000 0.0000  4 Ba 2.59
H2 0.7500 0.2500 0.5000  4 Ba 2.59

***

Which structure loses on stability? a does.

***

a.
This record from Alexandria via LeMat-Bulk describes an optimized crystal structure of BaHf2Fe2. The functional is PBE-GGA.

Summary:
- Mass density: 8.753 g cm⁻³
- Symmetry: No. 139
- Crystal system: tetragonal
- Total moment: 0.1496 μB per atom

Lattice parameters (Å, degrees): 6.7064 6.7064 6.7064 141.71 141.71 55.26
With the nearest neighbours (Å) after each atom.
Element x y z (fractional)
Ba1 0.0000 0.0000 0.0000  8 Hf 3.61, 8 Fe 3.70
Hf1 0.3463 0.3463 0.0000  4 Fe 2.48
Hf2 0.6537 0.6537 0.0000  4 Fe 2.48
Fe1 0.2500 0.7500 0.5000  4 Hf 2.48
Fe2 0.7500 0.2500 0.5000  4 Hf 2.48

***

b.
This record from Alexandria via LeMat-Bulk describes an optimized crystal structure of BaHf2Fe2. The functional is PBE-GGA.

Summary:
- Mass density: 9.722 g cm⁻³
- Symmetry: No. 127
- Crystal system: tetragonal
- Total moment: 0.2956 μB per atom

Lattice parameters (Å, degrees): 8.1800 8.1800 3.0936 90.00 90.00 90.00
With the nearest neighbours (Å) after each atom.
Element x y z (fractional)
Ba1 0.0000 0.0000 0.0000  2 Ba 3.09, 4 Hf 3.20
Ba2 0.5000 0.5000 0.0000  2 Ba 3.09, 4 Hf 3.20
Hf1 0.1310 0.3690 0.0000  4 Fe 2.64
Hf2 0.3690 0.8690 0.0000  4 Fe 2.64
Hf3 0.6310 0.1310 0.0000  4 Fe 2.64
Hf4 0.8690 0.6310 0.0000  4 Fe 2.64
Fe1 0.1304 0.6304 0.5000  4 Hf 2.64
Fe2 0.3696 0.1304 0.5000  4 Hf 2.64
Fe3 0.6304 0.8696 0.5000  4 Hf 2.64
Fe4 0.8696 0.3696 0.5000  4 Hf 2.64

***

Which structure loses on stability? a does.

***

a.
This record from Alexandria via LeMat-Bulk describes an optimized crystal structure of Ba2HfFe. The functional is PBE-GGA.

Summary:
- Mass density: 7.100 g cm⁻³
- Symmetry: No. 225
- Crystal system: cubic
- Total moment: 0.0000 μB per atom

Lattice parameters (Å, degrees): 5.5216 5.5216 5.5216 60.00 60.00 60.00
With the nearest neighbours (Å) after each atom.
Element x y z (fractional)
Ba1 0.2500 0.2500 0.2500  4 Hf 3.38, 4 Fe 3.38
Ba2 0.7500 0.7500 0.7500  4 Hf 3.38, 4 Fe 3.38
Hf1 0.0000 0.0000 0.0000  8 Ba 3.38
Fe1 0.5000 0.5000 0.5000  8 Ba 3.38

***

b.
This record from Alexandria via LeMat-Bulk describes an optimized crystal structure of Ba2HfFe. The functional is PBE-GGA.

Summary:
- Mass density: 4.949 g cm⁻³
- Symmetry: No. 122
- Crystal system: tetragonal
- Total moment: 0.0000 μB per atom

Lattice parameters (Å, degrees): 8.8968 8.8968 8.8968 93.88 93.88 149.84
With the nearest neighbours (Å) after each atom.
Element x y z (fractional)
Ba1 0.3750 0.1978 0.3228  2 Fe 3.22
Ba2 0.8022 0.1250 0.1772  2 Fe 3.22
Ba3 0.8750 0.0522 0.6772  2 Fe 3.22
Ba4 0.9478 0.6250 0.8228  2 Fe 3.22
Hf1 0.2500 0.7500 0.5000  2 Fe 2.31
Hf2 0.5000 0.5000 0.0000  2 Fe 2.31
Fe1 0.0000 0.0000 0.0000  2 Hf 2.31
Fe2 0.7500 0.2500 0.5000  2 Hf 2.31

***

Which structure loses on stability? a does.

***

a.
This record from Alexandria via LeMat-Bulk describes an optimized crystal structure of BaHfFe3. The functional is PBE-GGA.

Summary:
- Mass density: 6.609 g cm⁻³
- Symmetry: No. 221
- Crystal system: cubic
- Total moment: 1.3283 μB per atom

Lattice parameters (Å, degrees): 4.9523 4.9523 4.9523 90.00 90.00 90.00
With the nearest neighbours (Å) after each atom.
Element x y z (fractional)
Ba1 0.0000 0.0000 0.0000  12 Fe 3.50
Hf1 0.5000 0.5000 0.5000  6 Fe 2.48
Fe1 0.0000 0.5000 0.5000  2 Hf 2.48
Fe2 0.5000 0.0000 0.5000  2 Hf 2.48
Fe3 0.5000 0.5000 0.0000  2 Hf 2.48

***

b.
This record from Alexandria via LeMat-Bulk describes an optimized crystal structure of BaHfFe3. The functional is PBE-GGA.

Summary:
- Mass density: 8.101 g cm⁻³
- Symmetry: No. 221
- Crystal system: cubic
- Total moment: 0.0028 μB per atom

Lattice parameters (Å, degrees): 4.6273 4.6273 4.6273 90.00 90.00 90.00
With the nearest neighbours (Å) after each atom.
Element x y z (fractional)
Ba1 0.0000 0.0000 0.0000  6 Fe 2.31
Hf1 0.5000 0.5000 0.5000  12 Fe 3.27
Fe1 0.0000 0.0000 0.5000  2 Ba 2.31
Fe2 0.0000 0.5000 0.0000  2 Ba 2.31
Fe3 0.5000 0.0000 0.0000  2 Ba 2.31

***

Which structure loses on stability? b does.

***

a.
This record from Alexandria via LeMat-Bulk describes an optimized crystal structure of BaFe2Hg. The functional is PBE-GGA.

Summary:
- Mass density: 8.120 g cm⁻³
- Symmetry: No. 10
- Crystal system: monoclinic
- Total moment: 1.3310 μB per atom

Lattice parameters (Å, degrees): 4.8576 3.5929 5.2697 90.00 91.25 90.00
With the nearest neighbours (Å) after each atom.
Element x y z (fractional)
Ba1 0.0000 0.0000 0.0000  4 Fe 3.02, 4 Hg 3.19
Fe1 0.5000 0.0000 0.5000  4 Hg 3.02, 4 Fe 3.19
Fe2 0.5000 0.5000 0.0000  4 Ba 3.02, 4 Fe 3.19
Hg1 0.0000 0.5000 0.5000  4 Fe 3.02, 4 Ba 3.19

***

b.
This record from Alexandria via LeMat-Bulk describes an optimized crystal structure of BaFe2Hg. The functional is PBE-GGA.

Summary:
- Mass density: 7.336 g cm⁻³
- Symmetry: No. 10
- Crystal system: monoclinic
- Total moment: 1.4018 μB per atom

Lattice parameters (Å, degrees): 3.4205 4.7716 6.2983 90.00 98.11 90.00
With the nearest neighbours (Å) after each atom.
Element x y z (fractional)
Ba1 0.0000 0.0000 0.0000  2 Hg 3.37, 2 Ba 3.42, 4 Fe 3.56
Fe1 0.2856 0.5000 0.6323  2 Fe 2.37-2.38
Fe2 0.7144 0.5000 0.3677  2 Fe 2.37-2.38
Hg1 0.5000 0.0000 0.5000  4 Fe 2.66

***

Which structure loses on stability? a does.

***

a.
This record from Alexandria via LeMat-Bulk describes an optimized crystal structure of Ba2FeHg2. The functional is PBE-GGA.

Summary:
- Mass density: 6.840 g cm⁻³
- Symmetry: No. 139
- Crystal system: tetragonal
- Total moment: 0.4427 μB per atom

Lattice parameters (Å, degrees): 10.0516 10.0516 10.0516 155.26 155.26 35.27
With the nearest neighbours (Å) after each atom.
Element x y z (fractional)
Ba1 0.0988 0.0988 0.0000  4 Fe 3.59, 4 Hg 3.61, 1 Ba 3.79
Ba2 0.9012 0.9012 0.0000  4 Fe 3.59, 4 Hg 3.61, 1 Ba 3.79
Fe1 0.5000 0.5000 0.0000  8 Ba 3.59
Hg1 0.2500 0.7500 0.5000  4 Hg 3.04
Hg2 0.7500 0.2500 0.5000  4 Hg 3.04

***

b.
This record from Alexandria via LeMat-Bulk describes an optimized crystal structure of Ba2FeHg2. The functional is PBE-GGA.

Summary:
- Mass density: 6.550 g cm⁻³
- Symmetry: No. 127
- Crystal system: tetragonal
- Total moment: 0.5080 μB per atom

Lattice parameters (Å, degrees): 9.1496 9.1496 4.4314 90.00 90.00 90.00
With the nearest neighbours (Å) after each atom.
Element x y z (fractional)
Ba1 0.1699 0.3301 0.0000  2 Fe 3.40, 6 Hg 3.42-3.54
Ba2 0.3301 0.8301 0.0000  2 Fe 3.40, 6 Hg 3.42-3.54
Ba3 0.6699 0.1699 0.0000  2 Fe 3.40, 6 Hg 3.42-3.54
Ba4 0.8301 0.6699 0.0000  2 Fe 3.40, 6 Hg 3.42-3.54
Fe1 0.0000 0.0000 0.0000  4 Ba 3.40
Fe2 0.5000 0.5000 0.0000  4 Ba 3.40
Hg1 0.1284 0.6284 0.5000  1 Hg 3.32, 6 Ba 3.42-3.54
Hg2 0.3716 0.1284 0.5000  1 Hg 3.32, 6 Ba 3.42-3.54
Hg3 0.6284 0.8716 0.5000  1 Hg 3.32, 6 Ba 3.42-3.54
Hg4 0.8716 0.3716 0.5000  1 Hg 3.32, 6 Ba 3.42-3.54

***

Which structure loses on stability? b does.